This record from Alexandria via LeMat-Bulk describes CoTc2Ru after structural relaxation. The functional is PBEsol. Values from VASP.

Quantum ESPRESSO input file:
```
&SYSTEM
  ibrav = 0, nat = 4, ntyp = 3
/
ATOMIC_SPECIES
Co 58.93 Co.upf
Tc 98.00 Tc.upf
Ru 101.07 Ru.upf
CELL_PARAMETERS angstrom
3.055 0.000 0.000
0.000 3.055 0.000
0.000 0.000 5.558
ATOMIC_POSITIONS angstrom
Co 0.000 0.000 0.000
Tc 0.000 0.000 2.922
Tc 1.528 1.528 4.469
Ru 1.528 1.528 1.389
```

## Properties
- magnetic moment (Bohr magnetons per cell) = 0.0
- ΔE_f (eV/atom) = 0.218
- energy above the most stable polymorph in this dataset (meV/atom) = 273
- crystal system = tetragonal